DFT (PBE) results for an optimized crystal structure of CrCd2RuPb.

Cell lengths 5.224, 5.224, 4.359 Å; angles 90.00, 90.00, 90.00 degrees
Space group P4/mmm (No. 123)
Asymmetric unit:
1 Cr 0.000 0.000 0.000 x1
2 Cd 0.000 0.500 0.000 x2
3 Ru 0.000 0.000 0.500 x1
4 Pb 0.500 0.500 0.500 x1

Output
Formation enthalpy at 0 K (eV/atom): 0.797
VASP energy (eV for the cell shown): -20.45
Crystal system: tetragonal


DFT (PBE) results for an optimized crystal structure of Tb2NbO6.

Cell lengths 5.084, 5.084, 10.175 Å; angles 90.00, 90.00, 90.00 degrees
Space group P4_2/mnm (No. 136)
Asymmetric unit:
1 Tb 0.000 0.000 0.169 x4
2 Nb 0.000 0.000 0.500 x2
3 O 0.186 0.186 0.352 x8
4 O 0.217 0.217 0.000 x4

Output
VASP energy (eV for the cell shown): -150.02
Formation energy without anion corrections (eV/atom): -2.881
Crystal system: tetragonal


DFT (PBE) results for an optimized crystal structure of K3U2TiS6.

Cell lengths 6.789, 11.762, 7.767 Å; angles 90.00, 106.98, 90.00 degrees
Space group C2/m (No. 12)
Asymmetric unit:
1 K 0.000 0.000 0.000 x2
2 K 0.000 0.332 0.000 x4
3 U 0.000 0.166 0.500 x4
4 Ti 0.000 0.500 0.500 x2
5 S 0.225 0.341 0.699 x8
6 S 0.249 0.000 0.700 x4

Output
VASP energy (eV for the cell shown): -149.96
Formation energy without anion corrections (eV/atom): -1.371
Crystal system: monoclinic


DFT (PBE) results for an optimized crystal structure of SrTcC.

Cell lengths 3.623, 5.434, 5.470 Å; angles 90.00, 90.00, 90.00 degrees
Space group Pmn2_1 (No. 31)
Asymmetric unit:
1 Sr 0.000 0.095 0.000 x2
2 Tc 0.000 0.438 0.516 x2
3 C 0.000 0.597 0.190 x2

Output
Formation enthalpy at 0 K (eV/atom): 0.281
VASP energy (eV for the cell shown): -40.86
Crystal system: orthorhombic